No. 1
This record from the Alexandria database describes crystalline Cu2HgRu at its relaxed geometry. The functional is PBE.

## Properties
Its energy of formation is 0.367 eV per atom. The total energy comes out at -4.076 eV/atom.

Cell: 5.650 7.601 2.753 Å, 90.00 90.00 90.00°
Space group Cmmm (No. 65)
Inequivalent atoms, fractional coordinates:
Cu 0.250 0.250 0.000 (multiplicity 4)
Hg 0.000 0.000 0.500 (multiplicity 2)
Ru 0.000 0.500 0.500 (multiplicity 2)

=====

No. 2
This record from the Alexandria database describes crystalline CuHgRu2 at its relaxed geometry. The functional is PBE.

## Properties
Its energy of formation is 0.257 eV per atom. The total energy comes out at -5.480 eV/atom.

Cell: 2.851 2.851 7.538 Å, 90.00 90.00 90.00°
Space group P4mm (No. 99)
Inequivalent atoms, fractional coordinates:
Cu 0.000 0.000 0.000 (multiplicity 1)
Hg 0.500 0.500 0.263 (multiplicity 1)
Ru 0.000 0.000 0.552 (multiplicity 1)
Ru 0.500 0.500 0.766 (multiplicity 1)

=====

No. 3
This record from the Alexandria database describes crystalline CuHgRu2 at its relaxed geometry. The functional is PBE.

## Properties
Its energy of formation is 0.492 eV per atom. The total energy comes out at -5.246 eV/atom.

Cell: 3.985 3.985 7.626 Å, 90.00 90.00 90.00°
Space group I-4m2 (No. 119)
Inequivalent atoms, fractional coordinates:
Cu 0.000 0.000 0.000 (multiplicity 2)
Hg 0.000 0.500 0.750 (multiplicity 2)
Ru 0.000 0.000 0.500 (multiplicity 2)
Ru 0.000 0.500 0.250 (multiplicity 2)

=====

No. 4
This record from the Alexandria database describes crystalline Cu2HgRu at its relaxed geometry. The functional is PBE.

## Properties
Its energy of formation is 0.351 eV per atom. The total energy comes out at -4.091 eV/atom.

Cell: 2.849 3.632 5.777 Å, 90.00 90.00 90.00°
Space group Pmmm (No. 47)
Inequivalent atoms, fractional coordinates:
Cu 0.000 0.000 0.221 (multiplicity 2)
Hg 0.500 0.500 0.500 (multiplicity 1)
Ru 0.500 0.500 0.000 (multiplicity 1)

=====

No. 5
This record from the Alexandria database describes crystalline CuHgRu2 at its relaxed geometry. The functional is PBE.

## Properties
Its energy of formation is 0.567 eV per atom. The total energy comes out at -5.170 eV/atom.

Cell: 2.864 4.584 4.729 Å, 90.00 90.00 90.00°
Space group Pmmm (No. 47)
Inequivalent atoms, fractional coordinates:
Cu 0.000 0.000 0.000 (multiplicity 1)
Hg 0.500 0.500 0.000 (multiplicity 1)
Ru 0.000 0.500 0.500 (multiplicity 1)
Ru 0.500 0.000 0.500 (multiplicity 1)

=====

No. 6
This record from the Alexandria database describes crystalline Cu2HgRu at its relaxed geometry. The functional is PBE.

## Properties
Its energy of formation is 0.353 eV per atom. The total energy comes out at -4.089 eV/atom.

Cell: 2.7970 2.7970 26.7986 Å, 90.00 90.00 120.00°
Space group R-3m (No. 166, hexagonal axes)
Inequivalent atoms, fractional coordinates:
Cu 0.0000 0.0000 0.2440 (multiplicity 6)
Hg 0.0000 0.0000 0.0000 (multiplicity 3)
Ru 0.0000 0.0000 0.5000 (multiplicity 3)

=====

No. 7
This record from the Alexandria database describes crystalline CuHgRu2 at its relaxed geometry. The functional is PBE.

## Properties
Its energy of formation is 0.561 eV per atom. The total energy comes out at -5.176 eV/atom.

Cell: 3.037 3.037 6.673 Å, 90.00 90.00 90.00°
Space group P4/mmm (No. 123)
Inequivalent atoms, fractional coordinates:
Cu 0.000 0.000 0.000 (multiplicity 1)
Hg 0.000 0.000 0.500 (multiplicity 1)
Ru 0.500 0.500 0.205 (multiplicity 2)

=====

No. 8
This record from the Alexandria database describes crystalline CuHgTeRu2 at its relaxed geometry. The functional is PBE.

## Properties
As for the uncorrected formation energy: 1.17 eV per atom. The total energy comes out at -4.049 eV/atom.

Cell: 4.876 4.876 4.710 Å, 90.00 90.00 90.00°
Space group P4/mmm (No. 123)
Inequivalent atoms, fractional coordinates:
Cu 0.000 0.000 0.000 (multiplicity 1)
Hg 0.500 0.500 0.000 (multiplicity 1)
Te 0.000 0.000 0.500 (multiplicity 1)
Ru 0.000 0.500 0.500 (multiplicity 2)